Material: LuFePbAu
Method: DFT, PBE
State: relaxed

- Energy above the lowest structure with this stoichiometry: 0.026 eV/atom
- Space-group type: No. 216

```
LuFePbAu
1.0
0.0000 3.4453 3.4453
3.4453 0.0000 3.4453
3.4453 3.4453 0.0000
Lu Fe Pb Au
1 1 1 1
direct
0.0000 0.0000 0.0000
0.7500 0.7500 0.7500
0.5000 0.5000 0.5000
0.2500 0.2500 0.2500
```